1.
# LiAlPb, relaxed, DFT PBE
# Energy of formation from the pure elements (kJ/mol of formula units): 0.8
# Crystal system: triclinic
# VASP energy (eV per atom): -3.12
# Total magnetic moment (μB/atom): 0.000
data_LiAlPb
_chemical_formula_sum 'Li2 Al2 Pb2'
_cell_length_a 3.277
_cell_length_b 5.926
_cell_length_c 7.222
_cell_angle_alpha 81.65
_cell_angle_beta 89.91
_cell_angle_gamma 74.41
_symmetry_space_group_name_H-M 'P 1'
_symmetry_Int_Tables_number 1
loop_
_symmetry_equiv_pos_as_xyz
'x,y,z'
loop_
_atom_site_label
_atom_site_type_symbol
_atom_site_fract_x
_atom_site_fract_y
_atom_site_fract_z
Li1 Li 0.000 0.000 0.000
Li2 Li 0.143 0.710 0.385
Al1 Al 0.433 0.131 0.321
Al2 Al 0.560 0.872 0.682
Pb1 Pb 0.734 0.524 0.072
Pb2 Pb 0.827 0.342 0.640

2.
# Li2AlPb2, relaxed, DFT PBE
# Energy of formation from the pure elements (kJ/mol of formula units): -10.2
# Crystal system: tetragonal
# VASP energy (eV per atom): -3.02
# Total magnetic moment (μB/atom): 0.000
data_Li2AlPb2
_chemical_formula_sum 'Li4 Al2 Pb4'
_cell_length_a 8.150
_cell_length_b 8.150
_cell_length_c 3.414
_cell_angle_alpha 90.00
_cell_angle_beta 90.00
_cell_angle_gamma 90.00
_symmetry_space_group_name_H-M 'P 4/m b m'
_symmetry_Int_Tables_number 127
_symmetry_space_group_name_Hall '-P 4 2ab'
loop_
_atom_site_label
_atom_site_type_symbol
_atom_site_fract_x
_atom_site_fract_y
_atom_site_fract_z
Li1 Li 0.161 0.339 0.000
Al1 Al 0.000 0.000 0.500
Pb1 Pb 0.141 0.641 0.500

3.
# LiAl2Pb, relaxed, DFT PBE
# Energy of formation from the pure elements (kJ/mol of formula units): 16.8
# Crystal system: orthorhombic
# VASP energy (eV per atom): -3.23
# Total magnetic moment (μB/atom): 0.000
data_LiAl2Pb
_chemical_formula_sum 'Li1 Al2 Pb1'
_cell_length_a 3.357
_cell_length_b 4.509
_cell_length_c 5.437
_cell_angle_alpha 90.00
_cell_angle_beta 90.00
_cell_angle_gamma 90.00
_symmetry_space_group_name_H-M 'P m m 2'
_symmetry_Int_Tables_number 25
loop_
_symmetry_equiv_pos_as_xyz
'x,y,z'
'-x,-y,z'
'-x,y,z'
'x,-y,z'
loop_
_atom_site_label
_atom_site_type_symbol
_atom_site_fract_x
_atom_site_fract_y
_atom_site_fract_z
Li1 Li 0.000 0.000 0.000
Al1 Al 0.000 0.500 0.338
Al2 Al 0.500 0.000 0.437
Pb1 Pb 0.500 0.500 0.831

4.
# LiAlPb, relaxed, DFT PBE
# Energy of formation from the pure elements (kJ/mol of formula units): -15.0
# Crystal system: monoclinic
# VASP energy (eV per atom): -3.17
# Total magnetic moment (μB/atom): 0.000
data_LiAlPb
_chemical_formula_sum 'Li2 Al2 Pb2'
_cell_length_a 3.365
_cell_length_b 4.826
_cell_length_c 8.006
_cell_angle_alpha 90.00
_cell_angle_beta 101.52
_cell_angle_gamma 90.00
_symmetry_space_group_name_H-M 'P 1 21 1'
_symmetry_Int_Tables_number 4
loop_
_symmetry_equiv_pos_as_xyz
'x,y,z'
'-x,y+1/2,-z'
loop_
_atom_site_label
_atom_site_type_symbol
_atom_site_fract_x
_atom_site_fract_y
_atom_site_fract_z
Li1 Li 0.096 0.000 0.198
Al1 Al 0.251 0.657 0.504
Pb1 Pb 0.422 0.001 0.835

5.
# LiAlPb, relaxed, DFT PBE
# Energy of formation from the pure elements (kJ/mol of formula units): -9.6
# Crystal system: orthorhombic
# VASP energy (eV per atom): -3.15
# Total magnetic moment (μB/atom): 0.000
data_LiAlPb
_chemical_formula_sum 'Li4 Al4 Pb4'
_cell_length_a 7.163
_cell_length_b 4.215
_cell_length_c 8.838
_cell_angle_alpha 90.00
_cell_angle_beta 90.00
_cell_angle_gamma 90.00
_symmetry_space_group_name_H-M 'P n m a'
_symmetry_Int_Tables_number 62
loop_
_symmetry_equiv_pos_as_xyz
'x,y,z'
'-x,-y,-z'
'-x+1/2,-y,z+1/2'
'x+1/2,y,-z+1/2'
'x+1/2,-y+1/2,-z+1/2'
'-x+1/2,y+1/2,z+1/2'
'-x,y+1/2,-z'
'x,-y+1/2,z'
loop_
_atom_site_label
_atom_site_type_symbol
_atom_site_fract_x
_atom_site_fract_y
_atom_site_fract_z
Li1 Li 0.105 0.250 0.242
Al1 Al 0.098 0.250 0.571
Pb1 Pb 0.168 0.250 0.913

6.
# LiAl2Pb2, relaxed, DFT PBE
# Energy of formation from the pure elements (kJ/mol of formula units): 56.9
# Crystal system: tetragonal
# VASP energy (eV per atom): -3.25
# Total magnetic moment (μB/atom): 0.000
data_LiAl2Pb2
_chemical_formula_sum 'Li2 Al4 Pb4'
_cell_length_a 7.556
_cell_length_b 7.556
_cell_length_c 4.256
_cell_angle_alpha 90.00
_cell_angle_beta 90.00
_cell_angle_gamma 90.00
_symmetry_space_group_name_H-M 'P 4/m b m'
_symmetry_Int_Tables_number 127
_symmetry_space_group_name_Hall '-P 4 2ab'
loop_
_atom_site_label
_atom_site_type_symbol
_atom_site_fract_x
_atom_site_fract_y
_atom_site_fract_z
Li1 Li 0.000 0.000 0.000
Al1 Al 0.123 0.377 0.000
Pb1 Pb 0.182 0.682 0.500

7.
# LiAlPb, relaxed, DFT PBE
# Energy of formation from the pure elements (kJ/mol of formula units): -11.0
# Crystal system: orthorhombic
# VASP energy (eV per atom): -3.16
# Total magnetic moment (μB/atom): 0.000
data_LiAlPb
_chemical_formula_sum 'Li4 Al4 Pb4'
_cell_length_a 5.795
_cell_length_b 4.526
_cell_length_c 9.897
_cell_angle_alpha 90.00
_cell_angle_beta 90.00
_cell_angle_gamma 90.00
_symmetry_space_group_name_H-M 'P n m a'
_symmetry_Int_Tables_number 62
loop_
_symmetry_equiv_pos_as_xyz
'x,y,z'
'-x,-y,-z'
'-x+1/2,-y,z+1/2'
'x+1/2,y,-z+1/2'
'x+1/2,-y+1/2,-z+1/2'
'-x+1/2,y+1/2,z+1/2'
'-x,y+1/2,-z'
'x,-y+1/2,z'
loop_
_atom_site_label
_atom_site_type_symbol
_atom_site_fract_x
_atom_site_fract_y
_atom_site_fract_z
Li1 Li 0.149 0.250 0.098
Al1 Al 0.092 0.250 0.746
Pb1 Pb 0.157 0.250 0.414

8.
# LiAlPb, relaxed, DFT PBE
# Energy of formation from the pure elements (kJ/mol of formula units): -0.2
# Crystal system: orthorhombic
# VASP energy (eV per atom): -3.12
# Total magnetic moment (μB/atom): 0.000
data_LiAlPb
_chemical_formula_sum 'Li2 Al2 Pb2'
_cell_length_a 3.434
_cell_length_b 4.181
_cell_length_c 9.183
_cell_angle_alpha 90.00
_cell_angle_beta 90.00
_cell_angle_gamma 90.00
_symmetry_space_group_name_H-M 'I m m 2'
_symmetry_Int_Tables_number 44
loop_
_symmetry_equiv_pos_as_xyz
'x,y,z'
'-x,-y,z'
'-x,y,z'
'x,-y,z'
'x+1/2,y+1/2,z+1/2'
'-x+1/2,-y+1/2,z+1/2'
'-x+1/2,y+1/2,z+1/2'
'x+1/2,-y+1/2,z+1/2'
loop_
_atom_site_label
_atom_site_type_symbol
_atom_site_fract_x
_atom_site_fract_y
_atom_site_fract_z
Li1 Li 0.000 0.000 0.000
Al1 Al 0.000 0.000 0.336
Pb1 Pb 0.000 0.000 0.672

9.
# LiAl2Pb, relaxed, DFT PBE
# Energy of formation from the pure elements (kJ/mol of formula units): 27.2
# Crystal system: monoclinic
# VASP energy (eV per atom): -3.21
# Total magnetic moment (μB/atom): 0.000
data_LiAl2Pb
_chemical_formula_sum 'Li1 Al2 Pb1'
_cell_length_a 3.218
_cell_length_b 5.376
_cell_length_c 4.778
_cell_angle_alpha 90.00
_cell_angle_beta 90.69
_cell_angle_gamma 90.00
_symmetry_space_group_name_H-M 'P 1 2/m 1'
_symmetry_Int_Tables_number 10
loop_
_symmetry_equiv_pos_as_xyz
'x,y,z'
'-x,-y,-z'
'-x,y,-z'
'x,-y,z'
loop_
_atom_site_label
_atom_site_type_symbol
_atom_site_fract_x
_atom_site_fract_y
_atom_site_fract_z
Li1 Li 0.000 0.000 0.000
Al1 Al 0.253 0.500 0.240
Pb1 Pb 0.500 0.000 0.500

10.
# LiAlPb, relaxed, DFT PBE
# Energy of formation from the pure elements (kJ/mol of formula units): -14.6
# Crystal system: triclinic
# VASP energy (eV per atom): -3.17
# Total magnetic moment (μB/atom): 0.000
data_LiAlPb
_chemical_formula_sum 'Li4 Al4 Pb4'
_cell_length_a 5.853
_cell_length_b 6.728
_cell_length_c 7.742
_cell_angle_alpha 112.65
_cell_angle_beta 100.25
_cell_angle_gamma 104.09
_symmetry_space_group_name_H-M 'P -1'
_symmetry_Int_Tables_number 2
loop_
_symmetry_equiv_pos_as_xyz
'x,y,z'
'-x,-y,-z'
loop_
_atom_site_label
_atom_site_type_symbol
_atom_site_fract_x
_atom_site_fract_y
_atom_site_fract_z
Li1 Li 0.115 0.083 0.364
Li2 Li 0.212 0.596 0.209
Al1 Al 0.000 0.500 0.500
Al2 Al 0.397 0.910 0.618
Al3 Al 0.500 0.500 0.500
Pb1 Pb 0.208 0.877 0.968
Pb2 Pb 0.277 0.358 0.798

11.
# LiAl2Pb, relaxed, DFT PBE
# Energy of formation from the pure elements (kJ/mol of formula units): 80.3
# Crystal system: trigonal
# VASP energy (eV per atom): -3.07
# Total magnetic moment (μB/atom): 0.000
data_LiAl2Pb
_chemical_formula_sum 'Li3 Al6 Pb3'
_cell_length_a 3.1760
_cell_length_b 3.1760
_cell_length_c 29.9704
_cell_angle_alpha 90.00
_cell_angle_beta 90.00
_cell_angle_gamma 120.00
_symmetry_space_group_name_H-M 'R -3 m'
_symmetry_Int_Tables_number 166
_symmetry_space_group_name_Hall '-R 3 2"'
loop_
_atom_site_label
_atom_site_type_symbol
_atom_site_fract_x
_atom_site_fract_y
_atom_site_fract_z
Li1 Li 0.0000 0.0000 0.0000
Al1 Al 0.0000 0.0000 0.2608
Pb1 Pb 0.0000 0.0000 0.5000

12.
# LiAlPb, relaxed, DFT PBE
# Energy of formation from the pure elements (kJ/mol of formula units): 5.6
# Crystal system: triclinic
# VASP energy (eV per atom): -3.10
# Total magnetic moment (μB/atom): 0.000
data_LiAlPb
_chemical_formula_sum 'Li2 Al2 Pb2'
_cell_length_a 3.307
_cell_length_b 4.951
_cell_length_c 8.900
_cell_angle_alpha 76.16
_cell_angle_beta 79.38
_cell_angle_gamma 70.76
_symmetry_space_group_name_H-M 'P 1'
_symmetry_Int_Tables_number 1
loop_
_symmetry_equiv_pos_as_xyz
'x,y,z'
loop_
_atom_site_label
_atom_site_type_symbol
_atom_site_fract_x
_atom_site_fract_y
_atom_site_fract_z
Li1 Li 0.000 0.000 0.000
Li2 Li 0.327 0.484 0.861
Al1 Al 0.347 0.058 0.249
Al2 Al 0.669 0.531 0.132
Pb1 Pb 0.003 0.524 0.462
Pb2 Pb 0.654 0.982 0.712

13.
# LiAl4Pb, relaxed, DFT PBE
# Energy of formation from the pure elements (kJ/mol of formula units): 45.3
# Crystal system: cubic
# VASP energy (eV per atom): -3.35
# Total magnetic moment (μB/atom): 0.000
data_LiAl4Pb
_chemical_formula_sum 'Li4 Al16 Pb4'
_cell_length_a 7.890
_cell_length_b 7.890
_cell_length_c 7.890
_cell_angle_alpha 90.00
_cell_angle_beta 90.00
_cell_angle_gamma 90.00
_symmetry_space_group_name_H-M 'F -4 3 m'
_symmetry_Int_Tables_number 216
_symmetry_space_group_name_Hall 'F -4 2 3'
loop_
_atom_site_label
_atom_site_type_symbol
_atom_site_fract_x
_atom_site_fract_y
_atom_site_fract_z
Li1 Li 0.000 0.000 0.000
Al1 Al 0.126 0.126 0.374
Pb1 Pb 0.250 0.250 0.750

14.
# LiAlPb, relaxed, DFT PBE
# Energy of formation from the pure elements (kJ/mol of formula units): 27.4
# Crystal system: orthorhombic
# VASP energy (eV per atom): -3.03
# Total magnetic moment (μB/atom): 0.000
data_LiAlPb
_chemical_formula_sum 'Li1 Al1 Pb1'
_cell_length_a 3.223
_cell_length_b 4.435
_cell_length_c 4.686
_cell_angle_alpha 90.00
_cell_angle_beta 90.00
_cell_angle_gamma 90.00
_symmetry_space_group_name_H-M 'P m m m'
_symmetry_Int_Tables_number 47
loop_
_symmetry_equiv_pos_as_xyz
'x,y,z'
'-x,-y,-z'
'-x,-y,z'
'x,y,-z'
'x,-y,-z'
'-x,y,z'
'-x,y,-z'
'x,-y,z'
loop_
_atom_site_label
_atom_site_type_symbol
_atom_site_fract_x
_atom_site_fract_y
_atom_site_fract_z
Li1 Li 0.000 0.000 0.000
Al1 Al 0.500 0.500 0.000
Pb1 Pb 0.500 0.000 0.500

15.
# LiAl2Pb2, relaxed, DFT PBE
# Energy of formation from the pure elements (kJ/mol of formula units): 83.4
# Crystal system: tetragonal
# VASP energy (eV per atom): -3.19
# Total magnetic moment (μB/atom): 0.000
data_LiAl2Pb2
_chemical_formula_sum 'Li2 Al4 Pb4'
_cell_length_a 8.214
_cell_length_b 8.214
_cell_length_c 3.690
_cell_angle_alpha 90.00
_cell_angle_beta 90.00
_cell_angle_gamma 90.00
_symmetry_space_group_name_H-M 'P 4/m b m'
_symmetry_Int_Tables_number 127
_symmetry_space_group_name_Hall '-P 4 2ab'
loop_
_atom_site_label
_atom_site_type_symbol
_atom_site_fract_x
_atom_site_fract_y
_atom_site_fract_z
Li1 Li 0.000 0.000 0.000
Al1 Al 0.124 0.376 0.500
Pb1 Pb 0.171 0.671 0.000

16.
# LiAlPb, relaxed, DFT PBE
# Energy of formation from the pure elements (kJ/mol of formula units): 8.6
# Crystal system: orthorhombic
# VASP energy (eV per atom): -3.09
# Total magnetic moment (μB/atom): 0.000
data_LiAlPb
_chemical_formula_sum 'Li6 Al6 Pb6'
_cell_length_a 4.600
_cell_length_b 14.253
_cell_length_c 6.700
_cell_angle_alpha 90.00
_cell_angle_beta 90.00
_cell_angle_gamma 90.00
_symmetry_space_group_name_H-M 'I m m 2'
_symmetry_Int_Tables_number 44
loop_
_symmetry_equiv_pos_as_xyz
'x,y,z'
'-x,-y,z'
'-x,y,z'
'x,-y,z'
'x+1/2,y+1/2,z+1/2'
'-x+1/2,-y+1/2,z+1/2'
'-x+1/2,y+1/2,z+1/2'
'x+1/2,-y+1/2,z+1/2'
loop_
_atom_site_label
_atom_site_type_symbol
_atom_site_fract_x
_atom_site_fract_y
_atom_site_fract_z
Li1 Li 0.000 0.000 0.000
Li2 Li 0.000 0.330 0.479
Al1 Al 0.000 0.000 0.477
Al2 Al 0.000 0.333 0.984
Pb1 Pb 0.000 0.167 0.234
Pb2 Pb 0.000 0.500 0.232

17.
# LiAl2Pb, relaxed, DFT PBE
# Energy of formation from the pure elements (kJ/mol of formula units): 13.8
# Crystal system: monoclinic
# VASP energy (eV per atom): -3.24
# Total magnetic moment (μB/atom): 0.000
data_LiAl2Pb
_chemical_formula_sum 'Li2 Al4 Pb2'
_cell_length_a 9.131
_cell_length_b 3.312
_cell_length_c 5.586
_cell_angle_alpha 90.00
_cell_angle_beta 100.62
_cell_angle_gamma 90.00
_symmetry_space_group_name_H-M 'C 1 m 1'
_symmetry_Int_Tables_number 8
loop_
_symmetry_equiv_pos_as_xyz
'x,y,z'
'x,-y,z'
'x+1/2,y+1/2,z'
'x+1/2,-y+1/2,z'
loop_
_atom_site_label
_atom_site_type_symbol
_atom_site_fract_x
_atom_site_fract_y
_atom_site_fract_z
Li1 Li 0.000 0.000 0.000
Al1 Al 0.249 0.500 0.238
Al2 Al 0.490 0.000 0.426
Pb1 Pb 0.244 0.000 0.736

18.
# LiPuAlPb, relaxed, DFT PBE
# Energy of formation from the pure elements (kJ/mol of formula units): -28.6
# Crystal system: cubic
# VASP energy (eV per atom): -6.00
# Total magnetic moment (μB/atom): 1.421
data_LiPuAlPb
_chemical_formula_sum 'Li4 Pu4 Al4 Pb4'
_cell_length_a 7.225
_cell_length_b 7.225
_cell_length_c 7.225
_cell_angle_alpha 90.00
_cell_angle_beta 90.00
_cell_angle_gamma 90.00
_symmetry_space_group_name_H-M 'F -4 3 m'
_symmetry_Int_Tables_number 216
_symmetry_space_group_name_Hall 'F -4 2 3'
loop_
_atom_site_label
_atom_site_type_symbol
_atom_site_fract_x
_atom_site_fract_y
_atom_site_fract_z
Li1 Li 0.000 0.000 0.000
Pu1 Pu 0.000 0.000 0.500
Al1 Al 0.250 0.250 0.250
Pb1 Pb 0.250 0.250 0.750

19.
# RbLi2AlPb, relaxed, DFT PBE
# Energy of formation from the pure elements (kJ/mol of formula units): 483.4
# Crystal system: tetragonal
# VASP energy (eV per atom): -1.45
# Total magnetic moment (μB/atom): 0.000
data_RbLi2AlPb
_chemical_formula_sum 'Rb1 Li2 Al1 Pb1'
_cell_length_a 5.214
_cell_length_b 5.214
_cell_length_c 6.338
_cell_angle_alpha 90.00
_cell_angle_beta 90.00
_cell_angle_gamma 90.00
_symmetry_space_group_name_H-M 'P 4/m m m'
_symmetry_Int_Tables_number 123
_symmetry_space_group_name_Hall '-P 4 2'
loop_
_atom_site_label
_atom_site_type_symbol
_atom_site_fract_x
_atom_site_fract_y
_atom_site_fract_z
Rb1 Rb 0.000 0.000 0.000
Li1 Li 0.000 0.500 0.000
Al1 Al 0.500 0.500 0.500
Pb1 Pb 0.000 0.000 0.500

20.
# LiAlPb2S4, relaxed, DFT PBE
# Crystal system: triclinic
# VASP energy (eV per atom): -4.54
# Total magnetic moment (μB/atom): 0.000
data_LiAlPb2S4
_chemical_formula_sum 'Li1 Al1 Pb2 S4'
_cell_length_a 6.442
_cell_length_b 6.478
_cell_length_c 6.630
_cell_angle_alpha 66.63
_cell_angle_beta 61.05
_cell_angle_gamma 60.80
_symmetry_space_group_name_H-M 'P 1'
_symmetry_Int_Tables_number 1
loop_
_symmetry_equiv_pos_as_xyz
'x,y,z'
loop_
_atom_site_label
_atom_site_type_symbol
_atom_site_fract_x
_atom_site_fract_y
_atom_site_fract_z
Li1 Li 0.000 0.000 0.000
Al1 Al 0.732 0.758 0.757
Pb1 Pb 0.301 0.343 0.149
Pb2 Pb 0.551 0.588 0.429
S1 S 0.087 0.714 0.789
S2 S 0.377 0.939 0.045
S3 S 0.685 0.940 0.404
S4 S 0.744 0.381 0.819